# Cs3Pa3PdS8 | the Alexandria database | PBE-GGA | relaxed
# total DFT energy (no corrections)	-5.953	eV per atom
# E_form (uncorrected)	-1336	meV per atom
data_Cs3Pa3PdS8
_cell_length_a 8.409
_cell_length_b 7.933
_cell_length_c 9.098
_cell_angle_alpha 112.68
_cell_angle_beta 90.00
_cell_angle_gamma 122.00
_symmetry_space_group_name_H-M 'P 1'
_symmetry_Int_Tables_number 1
loop_
_symmetry_equiv_pos_as_xyz
'x,y,z'
loop_
_atom_site_label
_atom_site_fract_x
_atom_site_fract_y
_atom_site_fract_z
S1 0.793 0.585 0.345
S2 0.207 0.415 0.655
Cs1 0.000 0.000 0.000
S3 0.748 0.064 0.307
Cs2 0.500 0.500 0.000
S4 0.252 0.936 0.693
S5 0.684 0.936 0.693
Pa1 0.500 0.500 0.500
S6 0.730 0.459 0.684
S7 0.316 0.064 0.307
Pa2 0.500 0.000 0.500
Pd1 0.000 0.000 0.500
Cs3 0.000 0.500 0.000
S8 0.270 0.541 0.316
Pa3 0.000 0.500 0.500